VASP calculation (PBE) on a geometry-optimized TmTlC structure.

Structure (CIF):
```
data_TmTlC
_space_group_name_H-M_alt 'P 1'
_space_group_IT_number 1
_space_group_name_Hall 'P 1'
_cell_length_a 6.405
_cell_length_b 6.408
_cell_length_c 13.340
_cell_angle_alpha 152.19
_cell_angle_beta 152.18
_cell_angle_gamma 32.78
loop_
_atom_site_label
_atom_site_type_symbol
_atom_site_fract_x
_atom_site_fract_y
_atom_site_fract_z
Tl1 Tl 0.882 0.015 0.467
Tl2 Tl 0.498 0.635 0.967
Tm1 Tm 0.627 0.764 0.466
Tm2 Tm 0.752 0.887 0.967
C1 C 0.248 0.383 0.467
C2 C 0.132 0.268 0.966
```

Calculated values
The calculation puts the energy of formation from the pure elements at 0.0424 eV per atom. As for the total energy: -5.311 eV/atom.